Material: Ge2Au2S
Method: DFT, PBE
State: relaxed

Unit cell a=7.369 b=7.369 c=3.723 alpha=90.00 beta=90.00 gamma=90.00
Atoms (fractional coordinates):
Ge: 0.308 0.808 0.000
Ge: 0.808 0.692 0.000
Ge: 0.692 0.192 0.000
Ge: 0.192 0.308 0.000
Au: 0.130 0.630 0.500
Au: 0.630 0.870 0.500
Au: 0.870 0.370 0.500
Au: 0.370 0.130 0.500
S: 0.000 0.000 0.000
S: 0.500 0.500 0.000

Output
Formation energy without anion corrections, kJ per mole of atoms: 18.3